1.
The following is a PBE-GGA calculation of a relaxed structure of NpCu2IrS6, from Alexandria via LeMat-Bulk.

The space group is P1 (No. 1) and the conventional cell measures 6.182, 6.185 and 6.789 Å, with angles of 63.09, 62.97 and 60.10 degrees. The asymmetric unit holds Np at (0.000, 0.000, 0.000), Cu at (0.252, 0.252, 0.241), Cu at (0.818, 0.816, 0.550), Ir at (0.493, 0.493, 0.521), S at (0.098, 0.422, 0.754), S at (0.237, 0.877, 0.296), S at (0.423, 0.728, 0.752), S at (0.589, 0.239, 0.293), S at (0.727, 0.098, 0.752) and S at (0.878, 0.589, 0.295).

The calculation puts the total energy at -5.898 eV/atom.

***

2.
The following is a PBE-GGA calculation of a relaxed structure of La6Ga3H2, from Alexandria via LeMat-Bulk.

The space group is I4/mmm (No. 139) and the conventional cell measures 4.914, 4.914 and 24.371 Å, with angles of 90.00, 90.00 and 90.00 degrees. The asymmetric unit holds La at (0.000, 0.000, 0.204), La at (0.000, 0.500, 0.083), Ga at (0.000, 0.000, 0.332), Ga at (0.000, 0.000, 0.500) and H at (0.000, 0.000, 0.103).

The calculation puts the total energy at -4.531 eV/atom.

***

3.
The following is a PBE-GGA calculation of a relaxed structure of CaScAlW2, from Alexandria via LeMat-Bulk.

The space group is P4/mmm (No. 123) and the conventional cell measures 4.745, 4.745 and 5.069 Å, with angles of 90.00, 90.00 and 90.00 degrees. The asymmetric unit holds Ca at (0.000, 0.000, 0.000), Sc at (0.500, 0.500, 0.000), Al at (0.500, 0.500, 0.500) and W at (0.000, 0.500, 0.500).

The calculation puts the total energy at -6.415 eV/atom.

***

4.
The following is a PBE-GGA calculation of a relaxed structure of SrLi2Pr2In2, from Alexandria via LeMat-Bulk.

The space group is R-3m (No. 166, hexagonal axes) and the conventional cell measures 5.0185, 5.0185 and 28.9515 Å, with angles of 90.00, 90.00 and 120.00 degrees. The asymmetric unit holds Sr at (0.0000, 0.0000, 0.0000), Li at (0.0000, 0.0000, 0.4064), Pr at (0.0000, 0.0000, 0.1306) and In at (0.0000, 0.0000, 0.2543).

The calculation puts the total energy at -3.175 eV/atom.